First-principles (GGA-PBE) data for Li3La5Au12 after structural relaxation, as listed in the Alexandria database.

POSCAR file:
```
Li3La5Au12
1.0
-5.066 4.930 12.334
10.366 -9.390 2.549
5.171 10.805 -7.657
Au La Li
48 20 12
Direct
0.888 0.053 0.637 Au
0.053 0.888 0.137 Au
0.612 0.863 0.447 Au
0.388 0.137 0.553 Au
0.334 0.751 0.388 Au
0.084 0.637 0.749 Au
0.834 0.947 0.084 Au
0.137 0.388 0.053 Au
0.251 0.388 0.834 Au
0.112 0.166 0.249 Au
0.749 0.612 0.166 Au
0.863 0.251 0.416 Au
0.251 0.863 0.916 Au
0.334 0.584 0.447 Au
0.553 0.916 0.666 Au
0.637 0.084 0.249 Au
0.612 0.749 0.666 Au
0.666 0.416 0.553 Au
0.363 0.916 0.751 Au
0.112 0.947 0.363 Au
0.249 0.584 0.637 Au
0.834 0.888 0.251 Au
0.584 0.249 0.137 Au
0.137 0.749 0.584 Au
0.637 0.553 0.888 Au
0.249 0.666 0.112 Au
0.584 0.334 0.947 Au
0.084 0.447 0.834 Au
0.863 0.612 0.947 Au
0.447 0.084 0.334 Au
0.751 0.416 0.363 Au
0.447 0.363 0.612 Au
0.916 0.363 0.251 Au
0.751 0.334 0.888 Au
0.416 0.751 0.863 Au
0.388 0.251 0.334 Au
0.166 0.053 0.916 Au
0.888 0.834 0.751 Au
0.916 0.553 0.166 Au
0.947 0.834 0.584 Au
0.947 0.112 0.863 Au
0.363 0.447 0.112 Au
0.166 0.112 0.749 Au
0.053 0.166 0.416 Au
0.416 0.666 0.053 Au
0.553 0.637 0.388 Au
0.666 0.249 0.612 Au
0.749 0.137 0.084 Au
0.500 0.500 0.500 La
0.625 0.875 0.250 La
0.625 0.750 0.875 La
0.875 0.625 0.750 La
0.250 0.875 0.125 La
0.125 0.375 0.250 La
0.375 0.125 0.750 La
0.750 0.125 0.875 La
0.875 0.250 0.625 La
0.500 0.500 0.000 La
0.500 0.000 0.500 La
0.000 0.500 0.500 La
0.375 0.250 0.125 La
0.250 0.375 0.625 La
0.500 0.000 0.000 La
0.000 0.000 0.500 La
0.750 0.625 0.375 La
0.000 0.500 0.000 La
0.125 0.750 0.375 La
0.000 0.000 0.000 La
0.625 0.375 0.750 Li
0.750 0.875 0.625 Li
0.125 0.250 0.875 Li
0.375 0.750 0.625 Li
0.250 0.625 0.875 Li
0.750 0.375 0.125 Li
0.125 0.875 0.750 Li
0.875 0.125 0.250 Li
0.250 0.125 0.375 Li
0.375 0.625 0.250 Li
0.875 0.750 0.125 Li
0.625 0.250 0.375 Li
```

Summary:
SG	Ia-3d, No. 230
total DFT energy (no corrections)	-3.832	eV/atom

First-principles (GGA-PBE) data for Li5La4Au6 after structural relaxation, as listed in the Alexandria database.

POSCAR file:
```
Li5La4Au6
1.0
-2.926 -3.036 0.444
7.551 -5.181 -5.908
7.051 -4.855 13.269
Li Au La
10 12 8
Direct
0.338 0.676 0.259 Li
0.843 0.687 0.129 Li
0.356 0.712 0.995 Li
0.564 0.127 0.168 Li
0.157 0.313 0.629 Li
0.436 0.873 0.668 Li
0.644 0.288 0.495 Li
0.698 0.396 0.116 Li
0.302 0.604 0.616 Li
0.662 0.324 0.759 Li
0.579 0.158 0.907 Au
0.440 0.880 0.862 Au
0.783 0.567 0.984 Au
0.764 0.528 0.259 Au
0.236 0.472 0.759 Au
0.569 0.137 0.635 Au
0.560 0.120 0.362 Au
0.421 0.842 0.407 Au
0.882 0.764 0.615 Au
0.118 0.236 0.115 Au
0.431 0.863 0.135 Au
0.217 0.433 0.484 Au
0.184 0.368 0.939 La
0.161 0.322 0.304 La
0.992 0.984 0.010 La
0.839 0.678 0.804 La
0.816 0.632 0.439 La
0.970 0.940 0.273 La
0.030 0.060 0.773 La
0.008 0.016 0.510 La
```

Summary:
SG	Cmc2_1, No. 36
total DFT energy (no corrections)	-3.857	eV/atom

First-principles (GGA-PBE) data for Li2LaAu after structural relaxation, as listed in the Alexandria database.

POSCAR file:
```
Li2LaAu
1.0
-3.382 -0.228 -2.509
-1.286 -1.363 5.411
-1.714 7.928 1.589
Au Li La
2 4 2
Direct
0.230 0.459 0.750 Au
0.770 0.541 0.250 Au
0.337 0.674 0.055 Li
0.663 0.326 0.555 Li
0.663 0.326 0.945 Li
0.337 0.674 0.445 Li
0.943 0.884 0.750 La
0.057 0.116 0.250 La
```

Summary:
SG	P2_1/m, No. 11
total DFT energy (no corrections)	-3.419	eV/atom

First-principles (GGA-PBE) data for Li2LaAu after structural relaxation, as listed in the Alexandria database.

POSCAR file:
```
Li2LaAu
1.0
-3.298 -2.424 2.530
1.807 -4.924 -2.364
4.319 -0.766 4.896
Li La Au
4 2 2
Direct
0.000 0.239 0.902 Li
0.500 0.739 0.098 Li
0.000 0.761 0.902 Li
0.500 0.261 0.098 Li
0.000 0.000 0.424 La
0.500 0.500 0.576 La
0.500 0.000 0.747 Au
0.000 0.500 0.253 Au
```

Summary:
SG	Pmmn, No. 59
total DFT energy (no corrections)	-3.426	eV/atom

First-principles (GGA-PBE) data for LiLa2Au after structural relaxation, as listed in the Alexandria database.

POSCAR file:
```
LiLa2Au
1.0
8.601 0.000 0.000
0.000 8.601 0.000
4.301 4.301 3.254
La Au Li
4 2 2
Direct
0.093 0.625 0.250 La
0.657 0.125 0.250 La
0.875 0.907 0.750 La
0.375 0.343 0.750 La
0.750 0.250 0.500 Au
0.000 0.000 0.000 Au
0.500 0.500 0.000 Li
0.250 0.750 0.500 Li
```

Summary:
SG	I-42d, No. 122
total DFT energy (no corrections)	-3.898	eV/atom

First-principles (GGA-PBE) data for LiLaAu2 after structural relaxation, as listed in the Alexandria database.

POSCAR file:
```
LiLaAu2
1.0
5.019 -2.308 -2.727
-2.074 5.120 2.727
-2.924 0.114 5.421
Au La Li
2 1 1
Direct
0.000 0.211 0.211 Au
0.000 0.789 0.789 Au
0.000 0.500 0.500 La
0.000 0.000 0.000 Li
```

Summary:
SG	Immm, No. 71
total DFT energy (no corrections)	-3.407	eV/atom

First-principles (GGA-PBE) data for Li2La3Au9 after structural relaxation, as listed in the Alexandria database.

POSCAR file:
```
Li2La3Au9
1.0
-1.692 3.612 -1.560
-8.257 -1.052 6.521
8.272 2.320 2.277
Au La Li
9 3 2
Direct
0.000 0.500 0.000 Au
0.349 0.981 0.698 Au
0.870 0.168 0.739 Au
0.130 0.832 0.261 Au
0.130 0.429 0.261 Au
0.651 0.283 0.302 Au
0.870 0.571 0.739 Au
0.349 0.717 0.698 Au
0.651 0.019 0.302 Au
0.706 0.706 0.412 La
0.294 0.294 0.588 La
0.000 0.000 0.000 La
0.500 0.695 0.000 Li
0.500 0.305 0.000 Li
```

Summary:
SG	Immm, No. 71
total DFT energy (no corrections)	-4.099	eV/atom

First-principles (GGA-PBE) data for LiLaAu2 after structural relaxation, as listed in the Alexandria database.

POSCAR file:
```
LiLaAu2
1.0
4.901 0.000 0.000
0.000 3.798 -0.049
0.000 0.365 4.996
La Au Li
1 2 1
Direct
0.000 0.571 0.409 La
0.500 0.085 0.318 Au
0.000 0.081 0.913 Au
0.500 0.763 0.860 Li
```

Summary:
SG	Pm, No. 6
total DFT energy (no corrections)	-3.958	eV/atom

First-principles (GGA-PBE) data for Li2LaAu after structural relaxation, as listed in the Alexandria database.

POSCAR file:
```
Li2LaAu
1.0
-3.165 1.872 3.671
-4.644 -2.038 -1.130
4.558 -2.429 0.573
Li Au La
2 1 1
Direct
0.500 0.500 0.000 Li
0.000 0.000 0.000 Li
0.250 0.750 0.500 Au
0.750 0.250 0.500 La
```

Summary:
SG	I4/mmm, No. 139
total DFT energy (no corrections)	-3.270	eV/atom

First-principles (GGA-PBE) data for Li4LaAu2 after structural relaxation, as listed in the Alexandria database.

POSCAR file:
```
Li4LaAu2
1.0
-1.236 -3.313 -2.551
2.745 -5.181 5.398
-7.133 -0.076 3.554
Li La Au
8 2 4
Direct
0.000 0.651 0.905 Li
0.500 0.849 0.405 Li
0.000 0.905 0.651 Li
0.500 0.595 0.151 Li
0.000 0.349 0.095 Li
0.000 0.095 0.349 Li
0.500 0.151 0.595 Li
0.500 0.405 0.849 Li
0.500 0.000 0.000 La
0.000 0.500 0.500 La
0.000 0.787 0.213 Au
0.000 0.213 0.787 Au
0.500 0.713 0.713 Au
0.500 0.287 0.287 Au
```

Summary:
SG	P4_2/mnm, No. 136
total DFT energy (no corrections)	-3.215	eV/atom

First-principles (GGA-PBE) data for LiLaAu2 after structural relaxation, as listed in the Alexandria database.

POSCAR file:
```
LiLaAu2
1.0
5.072 0.000 0.000
2.536 4.392 0.000
2.536 1.464 4.141
Au La Li
2 1 1
Direct
0.000 0.000 0.000 Au
0.500 0.500 0.500 Au
0.750 0.750 0.750 La
0.250 0.250 0.250 Li
```

Summary:
SG	Fm-3m, No. 225
total DFT energy (no corrections)	-4.017	eV/atom

First-principles (GGA-PBE) data for Li3La3Au8 after structural relaxation, as listed in the Alexandria database.

POSCAR file:
```
Li3La3Au8
1.0
4.480 0.000 1.220
1.520 7.942 3.253
0.036 0.473 8.703
Li La Au
3 3 8
Direct
0.000 0.810 0.190 Li
0.000 0.190 0.810 Li
0.500 0.000 0.000 Li
0.218 0.782 0.782 La
0.782 0.218 0.218 La
0.500 0.500 0.500 La
0.845 0.507 0.803 Au
0.377 0.932 0.315 Au
0.155 0.197 0.493 Au
0.845 0.803 0.507 Au
0.377 0.315 0.932 Au
0.623 0.685 0.068 Au
0.623 0.068 0.685 Au
0.155 0.493 0.197 Au
```

Summary:
SG	Immm, No. 71
total DFT energy (no corrections)	-4.007	eV/atom

First-principles (GGA-PBE) data for Li4La3Au4 after structural relaxation, as listed in the Alexandria database.

POSCAR file:
```
Li4La3Au4
1.0
4.115 0.000 -1.024
-0.969 6.895 -3.894
-0.036 0.259 8.640
La Li Au
3 4 4
Direct
0.877 0.877 0.754 La
0.123 0.123 0.246 La
0.000 0.500 0.000 La
0.678 0.486 0.355 Li
0.678 0.869 0.355 Li
0.322 0.514 0.645 Li
0.322 0.131 0.645 Li
0.500 0.804 0.000 Au
0.500 0.196 0.000 Au
0.781 0.281 0.563 Au
0.219 0.719 0.437 Au
```

Summary:
SG	Immm, No. 71
total DFT energy (no corrections)	-3.836	eV/atom

First-principles (GGA-PBE) data for Li6LaAu4 after structural relaxation, as listed in the Alexandria database.

POSCAR file:
```
Li6LaAu4
1.0
-1.298 -2.892 2.584
0.787 -5.227 -5.456
5.808 1.544 4.647
Au La Li
4 1 6
Direct
0.500 0.387 0.193 Au
0.500 0.807 0.613 Au
0.500 0.807 0.193 Au
0.000 0.333 0.667 Au
0.000 0.000 0.000 La
0.500 0.587 0.793 Li
0.000 0.932 0.466 Li
0.500 0.207 0.793 Li
0.000 0.534 0.466 Li
0.500 0.207 0.413 Li
0.000 0.534 0.068 Li
```

Summary:
SG	P-6m2, No. 187
total DFT energy (no corrections)	-3.183	eV/atom

First-principles (GGA-PBE) data for LiLaAu3 after structural relaxation, as listed in the Alexandria database.

POSCAR file:
```
LiLaAu3
1.0
4.750 0.000 0.000
0.000 4.750 0.000
0.000 0.000 4.750
La Li Au
1 1 3
Direct
0.500 0.500 0.500 La
0.000 0.000 0.000 Li
0.500 0.000 0.000 Au
0.000 0.500 0.000 Au
0.000 0.000 0.500 Au
```

Summary:
SG	Pm-3m, No. 221
total DFT energy (no corrections)	-3.843	eV/atom

First-principles (GGA-PBE) data for LiLa2Au after structural relaxation, as listed in the Alexandria database.

POSCAR file:
```
LiLa2Au
1.0
-5.275 3.269 -1.731
-4.790 -2.844 -3.236
3.641 -0.084 5.315
La Li Au
2 1 1
Direct
0.969 0.969 0.000 La
0.259 0.759 0.500 La
0.550 0.550 0.000 Li
0.722 0.222 0.500 Au
```

Summary:
SG	Imm2, No. 44
total DFT energy (no corrections)	-4.087	eV/atom

First-principles (GGA-PBE) data for LiLaAu3 after structural relaxation, as listed in the Alexandria database.

POSCAR file:
```
LiLaAu3
1.0
4.658 0.000 0.008
0.000 4.406 0.000
-2.313 -2.203 10.551
Au Li La
6 2 2
Direct
0.047 0.798 0.596 Au
0.283 0.034 0.067 Au
0.717 0.966 0.933 Au
0.452 0.703 0.405 Au
0.953 0.202 0.404 Au
0.548 0.297 0.595 Au
0.596 0.848 0.697 Li
0.404 0.152 0.303 Li
0.845 0.594 0.188 La
0.155 0.406 0.812 La
```

Summary:
SG	C2/m, No. 12
total DFT energy (no corrections)	-3.892	eV/atom

First-principles (GGA-PBE) data for Li2LaAu after structural relaxation, as listed in the Alexandria database.

POSCAR file:
```
Li2LaAu
1.0
-2.748 -3.027 2.057
1.780 -3.393 2.503
-0.490 0.807 5.628
Li Au La
2 1 1
Direct
0.956 0.956 0.131 Li
0.241 0.241 0.277 Li
0.548 0.548 0.356 Au
0.755 0.755 0.736 La
```

Summary:
SG	Cm, No. 8
total DFT energy (no corrections)	-3.376	eV/atom

First-principles (GGA-PBE) data for LiLa2Au3 after structural relaxation, as listed in the Alexandria database.

POSCAR file:
```
LiLa2Au3
1.0
-2.790 -3.665 -1.264
4.332 0.487 -1.951
5.856 -8.234 10.946
Au Li La
6 2 4
Direct
0.667 0.333 0.995 Au
0.333 0.667 0.750 Au
0.667 0.333 0.250 Au
0.333 0.667 0.005 Au
0.667 0.333 0.505 Au
0.333 0.667 0.495 Au
0.667 0.333 0.750 Li
0.333 0.667 0.250 Li
0.000 0.000 0.617 La
0.000 0.000 0.883 La
0.000 0.000 0.117 La
0.000 0.000 0.383 La
```

Summary:
SG	P6_3/mmc, No. 194
total DFT energy (no corrections)	-4.283	eV/atom

First-principles (GGA-PBE) data for LiLaAu2 after structural relaxation, as listed in the Alexandria database.

POSCAR file:
```
LiLaAu2
1.0
5.155 -0.050 0.104
3.523 3.764 0.104
1.556 0.666 4.568
Au Li La
2 1 1
Direct
0.987 0.987 0.038 Au
0.741 0.741 0.805 Au
0.269 0.269 0.149 Li
0.503 0.503 0.507 La
```

Summary:
SG	Cm, No. 8
total DFT energy (no corrections)	-3.926	eV/atom